No. 1
A relaxed BaInIr crystal, computed with GGA-PBEsol.

Output
- energy of formation from the pure elements (eV per atom) = -0.064

abc: 3.2937 3.6660 12.2664
angles: 90.00 90.00 90.00
Closest atoms and distances in Å follow each position.
Space group Imm2 (No. 44)
Symmetry-distinct sites (fractional):
Ba: 0.0000 0.0000 0.0000 x2  4 Ba 3.29-3.67, 4 Ir 3.30, 5 In 3.40-3.68
In: 0.0000 0.0000 0.7228 x2  4 Ir 2.74
Ir: 0.0000 0.0000 0.3213 x2  4 In 2.74


No. 2
A relaxed ScTiCN2 crystal, computed with GGA-PBEsol.

Output
- formation energy from raw total energies (eV per atom) = 1.921

abc: 3.6397 3.6397 7.9541
angles: 90.00 90.00 90.00
Closest atoms and distances in Å follow each position.
Space group P4/mmm (No. 123)
Symmetry-distinct sites (fractional):
Sc: 0.0000 0.0000 0.0000 x1  4 N 1.82
Ti: 0.0000 0.0000 0.5000 x1  4 C 2.57
C: 0.5000 0.5000 0.5000 x1  4 Ti 2.57
N: 0.0000 0.5000 0.0000 x2  2 Sc 1.82


No. 3
A relaxed NbTcPd3 crystal, computed with GGA-PBEsol.

Output
- energy of formation from the pure elements (eV per atom) = 1.561

abc: 4.6923 4.6923 4.6923
angles: 90.00 90.00 90.00
Closest atoms and distances in Å follow each position.
Space group Pm-3m (No. 221)
Symmetry-distinct sites (fractional):
Nb: 0.0000 0.0000 0.0000 x1  6 Pd 2.35
Tc: 0.5000 0.5000 0.5000 x1  12 Pd 3.32
Pd: 0.0000 0.0000 0.5000 x3  2 Nb 2.35


No. 4
A relaxed InTe2Br2 crystal, computed with GGA-PBEsol.

Output
- formation energy from raw total energies (eV per atom) = 0.058

abc: 6.1702 6.1702 9.0985
angles: 90.00 90.00 90.00
Closest atoms and distances in Å follow each position.
Space group I4/mmm (No. 139)
Symmetry-distinct sites (fractional):
In: 0.0000 0.0000 0.0000 x2  2 Te 3.28
Te: 0.0000 0.0000 0.3607 x4  1 Te 2.53
Br: 0.0000 0.5000 0.2500 x4  4 Te 3.25


No. 5
A relaxed MnTlTcNi2 crystal, computed with GGA-PBEsol.

Output
- energy of formation from the pure elements (eV per atom) = 2.013

abc: 4.5938 4.5938 4.9841
angles: 90.00 90.00 90.00
Closest atoms and distances in Å follow each position.
Space group P4/mmm (No. 123)
Symmetry-distinct sites (fractional):
Mn: 0.0000 0.0000 0.0000 x1  4 Tc 3.25, 8 Ni 3.39
Tl: 0.5000 0.5000 0.5000 x1  4 Ni 2.30, 2 Tc 2.49
Tc: 0.5000 0.5000 0.0000 x1  2 Tl 2.49
Ni: 0.0000 0.5000 0.5000 x2  2 Tl 2.30


No. 6
A relaxed BeTeAs3 crystal, computed with GGA-PBEsol.

Output
- formation energy from raw total energies (eV per atom) = 0.443

abc: 4.5519 4.5519 4.5519
angles: 90.00 90.00 90.00
Closest atoms and distances in Å follow each position.
Space group Pm-3m (No. 221)
Symmetry-distinct sites (fractional):
Be: 0.0000 0.0000 0.0000 x1  6 As 2.28
Te: 0.5000 0.5000 0.5000 x1  12 As 3.22
As: 0.0000 0.0000 0.5000 x3  2 Be 2.28


No. 7
A relaxed Rb2AlCO crystal, computed with GGA-PBEsol.

Output
- formation energy from raw total energies (eV per atom) = 0.563

abc: 6.2219 6.2219 3.5756
angles: 90.00 90.00 90.00
Closest atoms and distances in Å follow each position.
Space group P4/mmm (No. 123)
Symmetry-distinct sites (fractional):
Rb: 0.0000 0.5000 0.0000 x2  2 Al 3.11
Al: 0.0000 0.0000 0.0000 x1  2 C 1.79
C: 0.0000 0.0000 0.5000 x1  2 Al 1.79
O: 0.5000 0.5000 0.5000 x1  2 O 3.58, 8 Rb 3.59


No. 8
A relaxed NbTlZn2Sb crystal, computed with GGA-PBEsol.

Output
- formation energy from raw total energies (eV per atom) = 0.979

abc: 4.9435 4.9435 5.2700
angles: 90.00 90.00 90.00
Closest atoms and distances in Å follow each position.
Space group P4/mmm (No. 123)
Symmetry-distinct sites (fractional):
Nb: 0.0000 0.0000 0.0000 x1  2 Sb 2.64
Tl: 0.5000 0.5000 0.0000 x1  4 Nb 3.50, 8 Zn 3.61
Zn: 0.0000 0.5000 0.5000 x2  2 Sb 2.47
Sb: 0.0000 0.0000 0.5000 x1  4 Zn 2.47, 2 Nb 2.64


No. 9
A relaxed Sr2BeBr crystal, computed with GGA-PBEsol.

Output
- ΔE to the lowest computed polymorph (meV/atom) = 236.1
- formation energy from raw total energies (eV per atom) = -0.227

abc: 7.7633 7.7633 7.7633
angles: 90.00 90.00 90.00
Closest atoms and distances in Å follow each position.
Space group Fm-3m (No. 225)
Symmetry-distinct sites (fractional):
Sr: 0.2500 0.2500 0.2500 x8  4 Br 3.36, 4 Be 3.36
Be: 0.0000 0.0000 0.0000 x4  8 Sr 3.36
Br: 0.0000 0.0000 0.5000 x4  8 Sr 3.36


No. 10
A relaxed K2OsAu crystal, computed with GGA-PBEsol.

Output
- ΔE to the lowest computed polymorph (meV/atom) = 339.2
- energy of formation from the pure elements (eV per atom) = 1.233

abc: 7.1538 7.1538 7.1538
angles: 90.00 90.00 90.00
Closest atoms and distances in Å follow each position.
Space group F-43m (No. 216)
Symmetry-distinct sites (fractional):
K: 0.0000 0.0000 0.0000 x4  4 Au 3.10, 4 K 3.10
K: 0.2500 0.2500 0.2500 x4  4 K 3.10, 4 Os 3.10
Os: 0.0000 0.0000 0.5000 x4  4 K 3.10, 4 Au 3.10
Au: 0.2500 0.2500 0.7500 x4  4 K 3.10, 4 Os 3.10


No. 11
A relaxed ZnAg2Pt crystal, computed with GGA-PBEsol.

Output
- energy of formation from the pure elements (eV per atom) = -0.144

abc: 2.9054 4.4974 9.3011
angles: 90.00 90.00 90.00
Closest atoms and distances in Å follow each position.
Space group Immm (No. 71)
Symmetry-distinct sites (fractional):
Zn: 0.0000 0.0000 0.0000 x2  4 Ag 2.64, 4 Pt 2.68, 2 Zn 2.91
Ag: 0.0000 0.5000 0.2632 x4  2 Zn 2.64, 6 Ag 2.69-2.91, 2 Pt 2.85
Pt: 0.0000 0.0000 0.5000 x2  4 Zn 2.68, 4 Ag 2.85, 2 Pt 2.91


No. 12
A relaxed CsAuS2O8 crystal, computed with GGA-PBEsol.

Output
- formation energy from raw total energies (eV per atom) = -1.265

abc: 10.3014 9.0879 9.0542
angles: 90.00 111.50 90.00
Closest atoms and distances in Å follow each position.
Space group P2_1/c (No. 14)
Symmetry-distinct sites (fractional):
Cs: 0.2449 0.1369 0.3904 x4  9 O 3.10-3.30
Au: 0.2879 0.6450 0.3664 x4  4 O 1.99-2.00
S: 0.0959 0.7390 0.5411 x4  4 O 1.44-1.56
S: 0.4723 0.5269 0.6963 x4  4 O 1.44-1.55
O: 0.0458 0.2393 0.5678 x4  1 S 1.44
O: 0.1159 0.6412 0.1701 x4  1 S 1.55
O: 0.1358 0.5953 0.6092 x4  1 S 1.44
O: 0.1998 0.7069 0.9637 x4  1 S 1.56
O: 0.3695 0.5090 0.2496 x4  1 S 1.55
O: 0.3847 0.0989 0.1316 x4  1 S 1.44
O: 0.4556 0.6448 0.5667 x4  1 S 1.55
O: 0.4598 0.5959 0.8345 x4  1 S 1.45